## a
Entry from the Open Quantum Materials Database: a relaxed GdEr2Al crystal (PBE).

Lattice parameters (Å, degrees): 6.8200 6.8200 5.2840 90.00 90.00 120.18
Fractional coordinates of all 8 atoms:
Al  0.1646  0.8354  0.2500
Al  0.8354  0.1646  0.7500
Er  0.1512  0.3245  0.2500
Er  0.6755  0.8488  0.2500
Er  0.3245  0.1512  0.7500
Er  0.8488  0.6755  0.7500
Gd  0.6754  0.3246  0.2500
Gd  0.3246  0.6754  0.7500

Results
The total magnetization is 0.001 μB/f.u. As for the space-group type: No. 63.

=====

## b
Entry from the Open Quantum Materials Database: a relaxed GdEr2Al crystal (PBE).

Lattice parameters (Å, degrees): 5.0146 6.6909 6.6909 102.51 90.00 90.00
Fractional coordinates of all 8 atoms:
Al  0.2500  0.4237  0.0729
Al  0.7500  0.0729  0.4237
Er  0.2500  0.9345  0.1556
Er  0.2500  0.8698  0.6335
Er  0.7500  0.6335  0.8698
Er  0.7500  0.1556  0.9345
Gd  0.7500  0.5668  0.3431
Gd  0.2500  0.3431  0.5668

Results
The total magnetization is 0.019 μB/f.u. As for the space-group type: No. 40.

=====

## c
Entry from the Open Quantum Materials Database: a relaxed GdEr2Al crystal (PBE).

Lattice parameters (Å, degrees): 5.3151 6.8400 6.8400 61.61 90.00 90.00
Fractional coordinates of all 8 atoms:
Al  0.0000  0.8715  0.2838
Al  0.0000  0.2838  0.8715
Er  0.5000  0.6839  0.1616
Er  0.5000  0.1722  0.1722
Er  0.5000  0.1616  0.6839
Er  0.0000  0.8264  0.8264
Gd  0.0000  0.3529  0.3529
Gd  0.5000  0.6477  0.6477

Results
The total magnetization is 0.013 μB/f.u. As for the space-group type: No. 38.

=====

The relative energies come out as a 0.0; b 2.8; c 10.2, with values in kJ/mol of atoms.